Here is a relaxed NaHO crystal from Alexandria. Energies are from GGA-PBE.

POSCAR file:
```
NaHO
1.0
4.4531 0.0000 0.0000
0.0000 4.4531 0.0000
0.0000 0.0000 3.6487
H Na O
2 2 2
Cartesian
2.2266 0.0000 1.9056
0.0000 2.2266 1.7431
2.2266 2.2266 0.0000
0.0000 0.0000 0.0000
0.0000 2.2266 0.7705
2.2266 0.0000 2.8782
```

Values from the calculation:
Calculated volume, Å³ per cell: 72
SG: P4/nmm, No. 129
Total energy, eV/f.u.: -13.591